Entry from Alexandria via LeMat-Bulk: a geometry-optimized SrDy5Tl3 structure (GGA-PBE).

Unit cell a=6.888 b=9.439 c=9.438 alpha=120.00 beta=90.00 gamma=90.00
Positions (direct):
Tl1 0.750 0.000 0.668
Tl2 0.750 0.668 0.000
Dy1 0.000 0.667 0.333
Dy2 0.000 0.333 0.667
Tl3 0.250 0.000 0.332
Dy3 0.250 0.000 0.659
Tl4 0.750 0.332 0.332
Sr1 0.000 0.000 0.000
Dy4 0.500 0.667 0.333
Dy5 0.750 0.341 0.000
Dy6 0.750 0.659 0.659
Tl5 0.250 0.332 0.000
Sr2 0.500 0.000 0.000
Dy7 0.500 0.333 0.667
Dy8 0.250 0.341 0.341
Dy9 0.250 0.659 0.000
Tl6 0.250 0.668 0.668
Dy10 0.750 0.000 0.341

Output
Space-group type: P6_3/mcm (193)
ΔH_f (0 K) (meV per atom): -237



Entry from Alexandria via LeMat-Bulk: a geometry-optimized ErHf2ScAs4 structure (GGA-PBE).

Unit cell a=3.885 b=6.730 c=6.805 alpha=109.35 beta=90.00 gamma=90.00
Positions (direct):
Sc1 0.000 0.000 0.000
As1 0.000 0.758 0.260
As2 0.500 0.247 0.256
Hf1 0.000 0.500 0.500
Er1 0.500 0.500 0.000
As3 0.500 0.753 0.744
As4 0.000 0.242 0.740
Hf2 0.500 0.000 0.500

Output
Space-group type: P2/m (10)
ΔH_f (0 K) (meV per atom): -1211



Entry from Alexandria via LeMat-Bulk: a geometry-optimized CuTcBi structure (GGA-PBE).

Unit cell a=4.424 b=4.424 c=4.424 alpha=60.00 beta=60.00 gamma=60.00
Positions (direct):
Tc1 0.750 0.750 0.750
Cu1 0.500 0.500 0.500
Bi1 0.000 0.000 0.000

Output
Space-group type: F-43m (216)
ΔH_f (0 K) (meV per atom): 681



Entry from Alexandria via LeMat-Bulk: a geometry-optimized Li3LaSb2 structure (GGA-PBE).

Unit cell a=4.645 b=4.645 c=7.454 alpha=90.00 beta=90.00 gamma=120.00
Positions (direct):
Li1 0.667 0.333 0.357
Sb1 0.667 0.333 0.742
Sb2 0.333 0.667 0.258
Li2 0.000 0.000 0.500
La1 0.000 0.000 0.000
Li3 0.333 0.667 0.643

Output
Space-group type: P-3m1 (164)
Formation energy (no corrections) (eV per atom): -0.88
Excess energy over the best structure of this formula in the dataset (kJ/mol of atoms): 0.00



Entry from Alexandria via LeMat-Bulk: a geometry-optimized TlCd6Au structure (GGA-PBE).

Unit cell a=4.461 b=5.333 c=8.911 alpha=74.82 beta=75.50 gamma=65.28
Positions (direct):
Cd1 0.500 0.228 0.772
Cd2 0.757 0.135 0.351
Cd3 0.500 0.772 0.228
Tl1 0.000 0.500 0.500
Cd4 0.248 0.389 0.114
Cd5 0.752 0.611 0.886
Cd6 0.243 0.865 0.649
Au1 0.000 0.000 0.000

Output
Space-group type: C2/m (12)
ΔH_f (0 K) (meV per atom): -13



Entry from Alexandria via LeMat-Bulk: a geometry-optimized TaZn2Br4 structure (GGA-PBE).

Unit cell a=5.176 b=5.176 c=11.283 alpha=76.74 beta=76.74 gamma=90.00
Last column: magnetic moment on the atom in μB.
Positions (direct):
Ta1 0.000 0.000 0.000  0.38
Zn1 0.284 0.284 0.433  -0.01
Br1 0.117 0.117 0.766  0.01
Br2 0.000 0.500 0.000  0.01
Zn2 0.716 0.716 0.567  -0.01
Br3 0.500 0.000 0.000  0.01
Br4 0.883 0.883 0.234  0.01

Output
Space-group type: I4/mmm (139)
Formation energy (no corrections) (eV per atom): -0.17



Entry from Alexandria via LeMat-Bulk: a geometry-optimized Pa2CuSb structure (GGA-PBE).

Unit cell a=5.115 b=5.115 c=5.112 alpha=59.98 beta=59.98 gamma=60.00
Last column: magnetic moment on the atom in μB.
Positions (direct):
Sb1 0.000 0.000 0.000  0.00
Cu1 0.500 0.500 0.500  0.01
Pa1 0.750 0.750 0.750  0.80
Pa2 0.250 0.250 0.250  0.80

Output
Space-group type: Fm-3m (225)
Formation energy (no corrections) (eV per atom): 0.06
Excess energy over the best structure of this formula in the dataset (kJ/mol of atoms): 16.16



Entry from Alexandria via LeMat-Bulk: a geometry-optimized Ac2ErF structure (GGA-PBE).

Unit cell a=3.705 b=3.705 c=11.045 alpha=80.34 beta=80.34 gamma=60.00
Positions (direct):
Er1 0.000 0.000 0.000
F1 0.500 0.500 0.500
Ac1 0.892 0.892 0.325
Ac2 0.108 0.108 0.675

Output
Space-group type: R-3m (166)
Formation energy (no corrections) (eV per atom): -0.83



Entry from Alexandria via LeMat-Bulk: a geometry-optimized LaHf2AgH structure (GGA-PBE).

Unit cell a=5.111 b=6.035 c=5.111 alpha=90.00 beta=90.00 gamma=90.00
Last column: magnetic moment on the atom in μB.
Positions (direct):
Hf1 0.500 0.000 0.000  0.58
H1 0.500 0.500 0.500  -0.04
Ag1 0.000 0.000 0.000  0.04
La1 0.000 0.500 0.000  0.15
Hf2 0.000 0.000 0.500  0.45

Output
Space-group type: P4/mmm (123)
Calculated total energy (eV/atom): -4.8650



Entry from Alexandria via LeMat-Bulk: a geometry-optimized Li2OsBr structure (GGA-PBE).

Unit cell a=4.409 b=4.409 c=4.409 alpha=60.00 beta=60.00 gamma=60.00
Positions (direct):
Li1 0.000 0.000 0.000
Os1 0.750 0.750 0.750
Br1 0.500 0.500 0.500
Li2 0.250 0.250 0.250

Output
Space-group type: F-43m (216)
Formation energy (no corrections) (eV per atom): 0.68
Excess energy over the best structure of this formula in the dataset (kJ/mol of atoms): 63.62



Entry from Alexandria via LeMat-Bulk: a geometry-optimized Tb2Nd6Ho3Sc structure (GGA-PBE).

Unit cell a=6.236 b=6.236 c=11.765 alpha=95.06 beta=95.06 gamma=119.99
Positions (direct):
Nd1 0.413 0.082 0.248
Tb1 0.333 0.667 0.000
Nd2 0.248 0.248 0.752
Nd3 0.918 0.587 0.752
Nd4 0.587 0.918 0.752
Nd5 0.082 0.413 0.248
Ho1 0.167 0.833 0.500
Ho2 0.500 0.500 0.500
Nd6 0.752 0.752 0.248
Ho3 0.833 0.167 0.500
Tb2 0.667 0.333 0.000
Sc1 0.000 0.000 0.000

Output
Space-group type: C2/m (12)
ΔH_f (0 K) (meV per atom): 23



Entry from Alexandria via LeMat-Bulk: a geometry-optimized BaSrLa2 structure (GGA-PBE).

Unit cell a=6.370 b=6.370 c=6.370 alpha=60.00 beta=60.00 gamma=60.00
Positions (direct):
Ba1 0.500 0.500 0.500
La1 0.000 0.000 0.000
La2 0.250 0.250 0.250
Sr1 0.750 0.750 0.750

Output
Space-group type: F-43m (216)
ΔH_f (0 K) (meV per atom): 213
Excess energy over the best structure of this formula in the dataset (kJ/mol of atoms): 13.05



Entry from Alexandria via LeMat-Bulk: a geometry-optimized TbSmNiHg structure (GGA-PBE).

Unit cell a=5.113 b=5.113 c=5.113 alpha=60.00 beta=60.00 gamma=60.00
Positions (direct):
Hg1 0.250 0.250 0.250
Sm1 0.000 0.000 0.000
Tb1 0.500 0.500 0.500
Ni1 0.750 0.750 0.750

Output
Space-group type: F-43m (216)
ΔH_f (0 K) (meV per atom): -326



Entry from Alexandria via LeMat-Bulk: a geometry-optimized K2MgBe structure (GGA-PBE).

Unit cell a=5.964 b=5.964 c=4.298 alpha=90.00 beta=90.00 gamma=106.77
Positions (direct):
Be1 0.000 0.500 0.500
Mg1 0.500 0.000 0.500
K1 0.500 0.500 0.000
K2 0.000 0.000 0.000

Output
Space-group type: Cmmm (65)
ΔH_f (0 K) (meV per atom): 740
Excess energy over the best structure of this formula in the dataset (kJ/mol of atoms): 24.17



Entry from Alexandria via LeMat-Bulk: a geometry-optimized LaAgI6 structure (GGA-PBE).

Unit cell a=10.799 b=11.965 c=8.398 alpha=55.27 beta=50.86 gamma=25.52
Positions (direct):
Ag1 0.000 0.000 0.000
I1 0.087 0.500 0.780
I2 0.845 0.000 0.817
I3 0.678 0.501 0.711
La1 0.500 0.500 0.500
I4 0.155 0.000 0.183
I5 0.322 0.499 0.289
I6 0.913 0.500 0.220

Output
Space-group type: P2/m (10)
Formation energy (no corrections) (eV per atom): -0.76



Entry from Alexandria via LeMat-Bulk: a geometry-optimized ScGeOs3 structure (GGA-PBE).

Unit cell a=4.679 b=4.679 c=4.679 alpha=90.00 beta=90.00 gamma=90.00
Last column: magnetic moment on the atom in μB.
Positions (direct):
Sc1 0.000 0.000 0.000  -0.05
Ge1 0.500 0.500 0.500  -0.02
Os1 0.500 0.000 0.000  0.39
Os2 0.000 0.500 0.000  0.41
Os3 0.000 0.000 0.500  0.34

Output
Space-group type: Pm-3m (221)
ΔH_f (0 K) (meV per atom): 2325
Excess energy over the best structure of this formula in the dataset (kJ/mol of atoms): 129.98



Entry from Alexandria via LeMat-Bulk: a geometry-optimized CdTe structure (GGA-PBE).

Unit cell a=4.615 b=4.615 c=10.473 alpha=90.00 beta=90.00 gamma=120.00
Positions (direct):
Cd1 0.502 0.502 0.000
Te1 0.000 0.499 0.167
Cd2 0.000 0.498 0.667
Cd3 0.498 0.000 0.333
Te2 0.501 0.501 0.500
Te3 0.499 0.000 0.833

Output
Space-group type: P3_121 (152)
Formation energy (no corrections) (eV per atom): -0.35



Entry from Alexandria via LeMat-Bulk: a geometry-optimized Ti2BiH2 structure (GGA-PBE).

Unit cell a=3.660 b=3.660 c=5.491 alpha=70.53 beta=70.53 gamma=90.00
Positions (direct):
Ti1 0.684 0.684 0.632
H1 0.250 0.750 0.500
H2 0.750 0.250 0.500
Bi1 0.000 0.000 0.000
Ti2 0.316 0.316 0.368

Output
Space-group type: I4/mmm (139)
Excess energy over the best structure of this formula in the dataset (kJ/mol of atoms): 0.00



Entry from Alexandria via LeMat-Bulk: a geometry-optimized Pm2CoTe structure (GGA-PBE).

Unit cell a=3.803 b=5.154 c=5.154 alpha=90.00 beta=90.00 gamma=90.00
Last column: magnetic moment on the atom in μB.
Positions (direct):
Pm1 0.000 0.500 0.000  -0.02
Te1 0.500 0.000 0.000  0.02
Pm2 0.000 0.000 0.500  -0.02
Co1 0.500 0.500 0.500  1.49

Output
Space-group type: P4/mmm (123)
Formation energy (no corrections) (eV per atom): -0.42
Excess energy over the best structure of this formula in the dataset (kJ/mol of atoms): 18.00



Entry from Alexandria via LeMat-Bulk: a geometry-optimized Ce4BiSb structure (GGA-PBE).

Unit cell a=5.604 b=7.742 c=9.090 alpha=102.21 beta=107.96 gamma=90.00
Last column: magnetic moment on the atom in μB.
Positions (direct):
Ce1 0.652 0.911 0.704  0.84
Ce2 0.051 0.411 0.704  0.84
Ce3 0.348 0.089 0.296  0.84
Sb1 0.914 0.250 0.000  -0.01
Ce4 0.949 0.589 0.296  0.84
Ce5 0.469 0.466 0.129  0.53
Bi1 0.500 0.500 0.500  -0.02
Ce6 0.340 0.034 0.871  0.53
Ce7 0.531 0.534 0.871  0.53
Bi2 0.000 0.000 0.500  -0.02
Sb2 0.086 0.750 0.000  -0.01
Ce8 0.660 0.966 0.129  0.53

Output
Space-group type: C2/c (15)
Formation energy (no corrections) (eV per atom): -0.47



Entry from Alexandria via LeMat-Bulk: a geometry-optimized HoErO2 structure (GGA-PBE).

Unit cell a=3.586 b=3.586 c=6.749 alpha=74.59 beta=74.59 gamma=60.00
Positions (direct):
Er1 0.000 0.000 0.000
Ho1 0.500 0.500 0.500
O1 0.113 0.113 0.662
O2 0.887 0.887 0.338

Output
Space-group type: R-3m (166)
Formation energy (no corrections) (eV per atom): -2.95



Entry from Alexandria via LeMat-Bulk: a geometry-optimized CaNiH3 structure (GGA-PBE).

Unit cell a=6.493 b=6.493 c=6.493 alpha=60.00 beta=60.00 gamma=60.00
Positions (direct):
H1 0.565 0.935 0.935
Ni1 0.625 0.625 0.125
H2 0.935 0.565 0.565
H3 0.315 0.685 0.315
Ca1 0.125 0.625 0.125
Ca2 0.125 0.125 0.125
H4 0.685 0.315 0.685
Ca3 0.125 0.125 0.625
H5 0.685 0.315 0.315
Ni2 0.625 0.625 0.625
H6 0.685 0.685 0.315
H7 0.565 0.935 0.565
H8 0.935 0.565 0.935
H9 0.315 0.685 0.685
Ni3 0.625 0.125 0.625
H10 0.935 0.935 0.565
Ni4 0.125 0.625 0.625
H11 0.315 0.315 0.685
Ca4 0.625 0.125 0.125
H12 0.565 0.565 0.935

Output
Space-group type: Fd-3m (227)
Calculated total energy (eV/atom): -3.7169



Entry from Alexandria via LeMat-Bulk: a geometry-optimized NdCdSbAu structure (GGA-PBE).

Unit cell a=5.229 b=5.229 c=5.229 alpha=60.00 beta=60.00 gamma=60.00
Positions (direct):
Au1 0.000 0.000 0.000
Cd1 0.750 0.750 0.750
Nd1 0.250 0.250 0.250
Sb1 0.500 0.500 0.500

Output
Space-group type: F-43m (216)
Formation energy (no corrections) (eV per atom): -0.47



Entry from Alexandria via LeMat-Bulk: a geometry-optimized SmYRhAu structure (GGA-PBE).

Unit cell a=3.839 b=4.604 c=5.628 alpha=90.00 beta=109.94 gamma=90.00
Positions (direct):
Y1 0.864 0.500 0.728
Sm1 0.144 0.000 0.288
Au1 0.582 0.500 0.164
Rh1 0.410 0.000 0.820

Output
Space-group type: Amm2 (38)
ΔH_f (0 K) (meV per atom): -814
Excess energy over the best structure of this formula in the dataset (kJ/mol of atoms): 0.00



Entry from Alexandria via LeMat-Bulk: a geometry-optimized Ta2OsAu structure (GGA-PBE).

Unit cell a=4.612 b=2.978 c=4.973 alpha=85.51 beta=90.00 gamma=90.00
Positions (direct):
Os1 0.500 0.609 0.817
Au1 0.000 0.640 0.450
Ta1 0.500 0.184 0.303
Ta2 0.000 0.066 0.929

Output
Space-group type: Pm (6)
ΔH_f (0 K) (meV per atom): -82
Excess energy over the best structure of this formula in the dataset (kJ/mol of atoms): 5.92



Entry from Alexandria via LeMat-Bulk: a geometry-optimized PmPuOsPd structure (GGA-PBE).

Unit cell a=4.937 b=4.937 c=4.937 alpha=60.00 beta=60.00 gamma=60.00
Last column: magnetic moment on the atom in μB.
Positions (direct):
Pd1 0.000 0.000 0.000  -0.07
Os1 0.500 0.500 0.500  -0.47
Pu1 0.250 0.250 0.250  4.99
Pm1 0.750 0.750 0.750  0.05

Output
Space-group type: F-43m (216)
ΔH_f (0 K) (meV per atom): -229



Entry from Alexandria via LeMat-Bulk: a geometry-optimized ReTc3O structure (GGA-PBE).

Unit cell a=4.734 b=4.734 c=4.734 alpha=90.00 beta=90.00 gamma=90.00
Last column: magnetic moment on the atom in μB.
Positions (direct):
Tc1 0.500 0.000 0.000  1.48
Tc2 0.000 0.000 0.500  1.44
Tc3 0.000 0.500 0.000  1.55
O1 0.500 0.500 0.500  1.06
Re1 0.000 0.000 0.000  -0.23

Output
Space-group type: Pm-3m (221)
Formation energy (no corrections) (eV per atom): 2.25
Excess energy over the best structure of this formula in the dataset (kJ/mol of atoms): 209.81